Record 1
Compound: Tb2CeIn3Te6
Source: Alexandria
Functional: PBE
Structure: relaxed

Geometry as POSCAR:
```
Tb2CeIn3Te6
1.0
3.870 -6.701 0.000
3.870 6.701 0.000
-2.579 0.000 8.126
Tb Ce In Te
2 1 3 6
Cartesian
3.870 4.466 0.000 Tb
3.870 -4.466 0.000 Tb
3.870 0.000 0.000 Ce
-1.289 0.000 4.063 In
2.581 2.218 4.063 In
2.581 -2.218 4.063 In
-0.028 2.283 6.321 Te
1.234 0.000 1.789 Te
-0.028 -2.283 6.321 Te
5.189 2.283 1.805 Te
3.927 0.000 6.336 Te
5.189 -2.283 1.805 Te
```

## Properties
- Formation energy (no corrections): -0.954 eV per atom
- Raw total energy: -4.48 eV/atom
- Density of states at the Fermi level: 0.6947 states/eV per atom

=====

Record 2
Compound: TbCe2Zn2In2
Source: Alexandria
Functional: PBE
Structure: relaxed

Geometry as POSCAR:
```
TbCe2Zn2In2
1.0
2.281 1.317 9.214
-2.281 1.317 9.214
0.000 -2.634 9.214
Tb Ce Zn In
1 2 2 2
Cartesian
0.000 0.000 0.000 Tb
0.000 0.000 3.938 Ce
0.000 0.000 23.703 Ce
0.000 0.000 11.228 Zn
0.000 0.000 16.414 Zn
0.000 0.000 7.354 In
0.000 0.000 20.287 In
```

## Properties
- Formation energy: -1.9 eV per formula unit
- Raw total energy: -3.77 eV/atom
- Density of states at the Fermi level: 1.5266 states/eV per atom